(1)
6
Lattice="2.765 0.000 0.000 0.000 4.398 0.000 -1.405 0.000 7.187" Properties=species:S:1:pos:R:3 comment="ReTc4Os GGA-PBE relaxed" volume_a3_per_atom=14.56 final_energy_ev_per_atom=-10.889 e_above_lowest_polymorph_mev_per_atom=0 formation_enthalpy_0k_ev_per_atom=-0.03 dos_at_fermi_per_ev_atom=0.90 pbc="T T T"
Re 0.000 0.000 0.000
Tc -0.013 0.000 4.807
Tc 1.398 2.199 0.832
Tc 1.376 0.000 2.426
Tc 1.382 2.199 5.591
Os 0.006 2.199 3.206



(2)
4
Lattice="0.000 3.538 3.538 3.538 0.000 3.538 3.538 3.538 0.000" Properties=species:S:1:pos:R:3 comment="GdLuMnGa GGA-PBE relaxed" volume_a3_per_atom=22.15 final_energy_ev_per_atom=-7.873 formation_enthalpy_0k_ev_per_atom=-0.17 dos_at_fermi_per_ev_atom=1.28 pbc="T T T"
Gd 0.000 0.000 0.000
Lu 3.538 3.538 3.538
Mn 5.308 5.308 5.308
Ga 1.769 1.769 1.769



(3)
8
Lattice="6.104 0.000 0.000 0.000 3.544 0.000 -2.020 0.000 5.782" Properties=species:S:1:pos:R:3 comment="Pm2YPuN4 GGA-PBE relaxed" volume_a3_per_atom=15.64 final_energy_ev_per_atom=-9.402 dos_at_fermi_per_ev_atom=0.92 raw_formation_energy_kj_per_mol_atoms=-140.1 pbc="T T T"
Pm 0.000 0.000 0.000
Pm 3.052 1.772 0.000
Y -1.010 1.772 2.891
Pu 2.042 0.000 2.891
N 0.055 0.000 4.253
N 1.056 1.772 1.554
N 3.028 1.772 4.228
N 4.029 0.000 1.529



(4)
8
Lattice="6.204 0.000 0.000 0.000 3.595 0.000 -2.060 0.000 5.864" Properties=species:S:1:pos:R:3 comment="Tb2PrThN4 GGA-PBE relaxed" volume_a3_per_atom=16.35 final_energy_ev_per_atom=-8.406 dos_at_fermi_per_ev_atom=0.22 raw_formation_energy_kj_per_mol_atoms=-150.6 pbc="T T T"
Tb 0.000 0.000 0.000
Tb -1.030 1.797 2.932
Pr 2.072 0.000 2.932
Th 3.102 1.797 0.000
N 1.015 1.797 1.400
N -0.031 0.000 4.431
N 4.176 0.000 1.433
N 3.129 1.797 4.464



(5)
9
Lattice="5.092 0.000 0.000 2.512 4.435 0.000 0.847 0.493 9.330" Properties=species:S:1:pos:R:3 comment="Nd2Ag3Hg4 GGA-PBE relaxed" volume_a3_per_atom=23.41 final_energy_ev_per_atom=-2.433 e_above_lowest_polymorph_mev_per_atom=0 formation_enthalpy_0k_ev_per_atom=-0.29 dos_at_fermi_per_ev_atom=0.59 pbc="T T T"
Nd 1.300 0.763 2.199
Nd 7.151 4.165 7.131
Ag 2.018 1.170 5.404
Ag 3.802 2.218 0.000
Ag 6.433 3.758 3.926
Hg 2.105 1.223 8.396
Hg 3.834 2.245 3.257
Hg 4.616 2.683 6.073
Hg 6.346 3.705 0.934



(6)
10
Lattice="4.622 0.000 0.000 0.000 4.622 0.000 0.000 0.000 11.534" Properties=species:S:1:pos:R:3 comment="SrAc2Al3Zn4 GGA-PBE relaxed" volume_a3_per_atom=24.64 final_energy_ev_per_atom=-2.853 formation_enthalpy_0k_ev_per_atom=-0.23 dos_at_fermi_per_ev_atom=0.61 pbc="T T T"
Sr 0.000 0.000 0.000
Ac 0.000 2.311 8.258
Ac 2.311 0.000 3.275
Al 0.000 2.311 4.443
Al 2.311 0.000 7.091
Al 2.311 2.311 0.000
Zn 0.000 0.000 5.767
Zn 0.000 2.311 1.899
Zn 2.311 0.000 9.635
Zn 2.311 2.311 5.767



(7)
6
Lattice="4.850 0.000 0.000 -2.425 4.200 0.000 0.000 0.000 9.428" Properties=species:S:1:pos:R:3 comment="CsNaAg2Te2 GGA-PBE relaxed" volume_a3_per_atom=32.01 final_energy_ev_per_atom=-2.967 dos_at_fermi_per_ev_atom=0.00 raw_formation_energy_kj_per_mol_atoms=-58.6 pbc="T T T"
Cs 0.000 0.000 0.000
Na 0.000 0.000 4.714
Ag 0.000 2.800 3.105
Ag 2.425 1.400 6.323
Te 0.000 2.800 6.682
Te 2.425 1.400 2.746



(8)
4
Lattice="3.435 -5.092 0.000 3.435 5.092 0.000 -1.379 0.000 3.053" Properties=species:S:1:pos:R:3 comment="LiCdPb2 GGA-PBE relaxed" volume_a3_per_atom=26.71 final_energy_ev_per_atom=-2.618 formation_enthalpy_0k_ev_per_atom=-0.06 dos_at_fermi_per_ev_atom=0.38 pbc="T T T"
Li 0.000 0.000 0.000
Cd 3.435 0.000 0.000
Pb 1.028 2.546 1.527
Pb 1.028 -2.546 1.527



(9)
16
Lattice="3.891 2.246 6.970 -3.891 2.246 6.970 0.000 -4.493 6.970" Properties=species:S:1:pos:R:3 comment="Na4Sc3VSe8 GGA-PBE relaxed" volume_a3_per_atom=22.84 final_energy_ev_per_atom=-5.219 dos_at_fermi_per_ev_atom=0.49 raw_formation_energy_kj_per_mol_atoms=-134.1 pbc="T T T"
Na 0.000 0.000 0.000
Na -1.945 -1.123 6.970
Na -1.945 1.123 13.940
Na 0.000 2.246 6.970
Sc -3.891 0.000 10.455
Sc -1.945 1.123 3.485
Sc 1.945 1.123 3.485
V 0.000 0.000 10.455
Se 0.000 0.000 5.018
Se -1.887 -1.089 11.947
Se 0.000 -2.179 8.963
Se -1.887 1.089 8.963
Se 1.887 -1.089 11.947
Se 0.000 2.179 11.947
Se 1.887 1.089 8.963
Se 0.000 0.000 15.892



(10)
4
Lattice="1.497 0.864 9.148 -1.497 0.864 9.148 0.000 -1.729 9.148" Properties=species:S:1:pos:R:3 comment="AgSe2F GGA-PBE relaxed" volume_a3_per_atom=17.76 final_energy_ev_per_atom=-3.009 e_above_lowest_polymorph_mev_per_atom=211 dos_at_fermi_per_ev_atom=0.53 raw_formation_energy_kj_per_mol_atoms=-8.4 pbc="T T T"
Ag 0.000 0.000 0.000
Se 0.000 0.000 11.549
Se 0.000 0.000 15.894
F 0.000 0.000 13.722



(11)
8
Lattice="4.575 -1.459 0.000 4.575 1.459 0.000 -0.705 0.000 10.952" Properties=species:S:1:pos:R:3 comment="Mg3Ag4Pd GGA-PBE relaxed" volume_a3_per_atom=18.27 final_energy_ev_per_atom=-2.846 formation_enthalpy_0k_ev_per_atom=-0.17 dos_at_fermi_per_ev_atom=0.33 pbc="T T T"
Mg 0.000 0.000 0.000
Mg 1.668 0.000 6.770
Mg 6.777 0.000 4.182
Ag 0.078 0.000 2.899
Ag 1.763 0.000 9.640
Ag 6.682 0.000 1.312
Ag 8.367 0.000 8.053
Pd 4.223 0.000 5.476



(12)
3
Lattice="-1.462 1.876 4.266 1.462 -1.876 4.266 1.462 1.876 -4.266" Properties=species:S:1:pos:R:3 comment="MgCoAu GGA-PBE relaxed" volume_a3_per_atom=15.60 final_energy_ev_per_atom=-3.991 e_above_lowest_polymorph_mev_per_atom=0 formation_enthalpy_0k_ev_per_atom=0.00 dos_at_fermi_per_ev_atom=1.48 pbc="T T T"
Mg 0.000 0.000 0.000
Co 0.000 0.000 5.675
Au 0.000 0.000 2.788



Question: Which formula does entry 10 have?
Answer: AgSe2F